Record 1
Below is a geometry-optimized Ce4NdPd15 structure, with properties calculated at the PBE-GGA level.

a = 4.1696 Å, b = 4.1696 Å, c = 20.7961 Å
α = 90.00°, β = 90.00°, γ = 90.00°
Element x y z (fractional)
Ce 0.0000 0.0000 0.1000
Ce 0.0000 0.0000 0.3002
Ce 0.0000 0.0000 0.6998
Ce 0.0000 0.0000 0.9000
Nd 0.0000 0.0000 0.5000
Pd 0.0000 0.5000 0.0000
Pd 0.0000 0.5000 0.1993
Pd 0.0000 0.5000 0.3968
Pd 0.0000 0.5000 0.6032
Pd 0.0000 0.5000 0.8007
Pd 0.5000 0.0000 0.0000
Pd 0.5000 0.0000 0.1993
Pd 0.5000 0.0000 0.3968
Pd 0.5000 0.0000 0.6032
Pd 0.5000 0.0000 0.8007
Pd 0.5000 0.5000 0.0996
Pd 0.5000 0.5000 0.2984
Pd 0.5000 0.5000 0.5000
Pd 0.5000 0.5000 0.7016
Pd 0.5000 0.5000 0.9004

Spin magnetization   1.57 Bohr magnetons per cell
Calculated density   10568 kg/m3
E_form   -0.82 eV per atom
Calculated total energy   -6.1411 eV per atom

Record 2
Below is a geometry-optimized Ba2ReHg2 structure, with properties calculated at the PBE-GGA level.

a = 6.2185 Å, b = 6.2185 Å, c = 6.2185 Å
α = 115.97°, β = 115.97°, γ = 97.14°
Element x y z (fractional)
Ba 0.2500 0.7500 0.5000
Ba 0.7500 0.2500 0.5000
Re 0.0000 0.0000 0.0000
Hg 0.3306 0.3306 0.0000
Hg 0.6694 0.6694 0.0000

Spin magnetization   1.94 Bohr magnetons per cell
Calculated density   8002 kg/m3
Energy above the lowest structure with this stoichiometry   0.1172 eV/atom
E_form   0.59 eV per atom
Calculated total energy   -2.7857 eV per atom

Record 3
Below is a geometry-optimized Pm4DyU3N8 structure, with properties calculated at the PBE-GGA level.

a = 7.0515 Å, b = 7.0515 Å, c = 7.0515 Å
α = 59.55°, β = 59.55°, γ = 59.55°
Element x y z (fractional)
Pm 0.0000 0.0000 0.0000
Pm 0.0000 0.5000 0.5000
Pm 0.5000 0.0000 0.5000
Pm 0.5000 0.5000 0.0000
Dy 0.5000 0.5000 0.5000
U 0.0000 0.0000 0.5000
U 0.0000 0.5000 0.0000
U 0.5000 0.0000 0.0000
N 0.2235 0.7456 0.7456
N 0.2380 0.2380 0.2380
N 0.2544 0.2544 0.7765
N 0.2544 0.7765 0.2544
N 0.7456 0.2235 0.7456
N 0.7456 0.7456 0.2235
N 0.7620 0.7620 0.7620
N 0.7765 0.2544 0.2544

Spin magnetization   1.76 Bohr magnetons per cell
Calculated density   10615 kg/m3
Calculated total energy   -9.2319 eV per atom